An optimized crystal structure of CaTl4Os. Source: the Alexandria database, functional GGA-PBE.

a b c (Å): 6.0736 6.0736 6.0736
angles (deg): 60.00 60.00 60.00
Each line ends with the local moment (μB).
Fractional positions:
Ca 0.7500 0.7500 0.7500  -0.02
Tl 0.8773 0.3742 0.3742  -0.01
Tl 0.3742 0.3742 0.8773  -0.01
Tl 0.3742 0.8773 0.3742  -0.01
Tl 0.3742 0.3742 0.3742  -0.01
Os 0.0000 0.0000 0.0000  0.69

## Properties
**Total magnetic moment**: 0.586 Bohr magnetons per cell
**ΔE_f**: 0.76 eV/atom
**Mass density**: 10.98 Mg/m³
**Density of states at the Fermi level**: 0.69 states/eV per atom
**Crystal system**: cubic
**Symmetry**: F-43m (216)
**Uncorrected energy**: -3.0262 eV per atom



An optimized crystal structure of CaYTlOs2. Source: the Alexandria database, functional GGA-PBE.

a b c (Å): 5.0823 5.0991 5.0823
angles (deg): 90.00 90.00 90.00
Fractional positions:
Y 0.5000 0.5000 0.5000
Tl 0.0000 0.0000 0.0000
Os 0.0000 0.0000 0.5000
Os 0.5000 0.0000 0.0000
Ca 0.0000 0.5000 0.0000

## Properties
**Total magnetic moment**: 0.000 Bohr magnetons per cell
**ΔE_f**: 1.49 eV/atom
**Mass density**: 9.00 Mg/m³
**Density of states at the Fermi level**: 0.71 states/eV per atom
**Crystal system**: tetragonal
**Symmetry**: P4/mmm (123)
**Uncorrected energy**: -5.1645 eV per atom